Material: PmPdPt
Method: DFT, PBE
State: relaxed

Results
- ΔE_f (eV per atom) = -0.38
- calculated total energy (eV/atom) = -5.7068
- distance to the lowest polymorph of the same formula (kcal/mol of atoms) = 6.71

Lattice parameters (Å, degrees): 4.682 4.682 4.682 60.00 60.00 60.00
Sites, in units of the cell vectors:
Pm  0.000  0.000  0.000
Pd  0.750  0.750  0.750
Pt  0.250  0.250  0.250

---

Material: Nd2Si2O7
Method: DFT, PBE
State: relaxed

Results
- calculated total energy (eV/atom) = -8.1635

Lattice parameters (Å, degrees): 5.348 8.591 12.916 90.00 90.00 90.00
Sites, in units of the cell vectors:
Nd  0.013  0.051  0.230
Nd  0.016  0.648  0.589
Nd  0.484  0.352  0.089
Nd  0.487  0.949  0.730
Nd  0.513  0.449  0.770
Nd  0.516  0.852  0.411
Nd  0.984  0.148  0.911
Nd  0.987  0.551  0.270
Si  0.014  0.749  0.822
Si  0.016  0.499  0.975
Si  0.484  0.501  0.475
Si  0.486  0.251  0.322
Si  0.514  0.751  0.178
Si  0.516  0.001  0.025
Si  0.984  0.999  0.525
Si  0.986  0.249  0.678
O  0.011  0.681  0.941
O  0.068  0.481  0.098
O  0.082  0.932  0.822
O  0.240  0.907  0.562
O  0.245  0.676  0.755
O  0.246  0.397  0.923
O  0.248  0.214  0.738
O  0.252  0.786  0.238
O  0.254  0.603  0.423
O  0.255  0.324  0.255
O  0.260  0.093  0.062
O  0.418  0.068  0.322
O  0.432  0.519  0.598
O  0.489  0.319  0.441
O  0.511  0.819  0.059
O  0.568  0.019  0.902
O  0.582  0.568  0.178
O  0.740  0.593  0.438
O  0.745  0.824  0.245
O  0.746  0.103  0.077
O  0.748  0.286  0.262
O  0.752  0.714  0.762
O  0.754  0.897  0.577
O  0.755  0.176  0.745
O  0.760  0.407  0.938
O  0.918  0.432  0.678
O  0.932  0.981  0.402
O  0.989  0.181  0.559

---

Material: LiCdAs
Method: DFT, PBE
State: relaxed

Results
- calculated total energy (eV/atom) = -2.7171

Lattice parameters (Å, degrees): 7.370 7.370 3.792 90.00 90.00 120.00
Sites, in units of the cell vectors:
Li  0.000  0.608  0.000
Li  0.392  0.392  0.000
Li  0.608  0.000  0.000
Cd  0.000  0.000  0.000
Cd  0.333  0.667  0.500
Cd  0.667  0.333  0.500
As  0.000  0.287  0.500
As  0.287  0.000  0.500
As  0.713  0.713  0.500